Material: CeGeRh
Method: DFT, PBE
State: relaxed

POSCAR file:
```
CeGeRh
1.0
4.457 0.000 0.000
0.000 7.004 0.000
0.000 0.000 7.554
Ce Ge Rh
4 4 4
Direct
0.750 0.518 0.701
0.750 0.018 0.799
0.250 0.982 0.201
0.250 0.482 0.299
0.750 0.682 0.084
0.750 0.182 0.416
0.250 0.818 0.584
0.250 0.318 0.916
0.750 0.283 0.085
0.750 0.783 0.415
0.250 0.717 0.915
0.250 0.217 0.585
```

Summary:
Space group: No. 62
Fermi-level density of states, states/eV/cell: 18.455
DFT formation energy, eV/atom: -0.91



Material: Ce2Ge2Rh3
Method: DFT, PBE
State: relaxed

POSCAR file:
```
Ce2Ge2Rh3
1.0
-2.646 1.702 5.689
-2.758 -6.817 0.757
5.435 -0.097 2.557
Ge Rh Ce
4 6 4
Direct
0.121 0.690 0.059
0.879 0.310 0.941
0.379 0.190 0.559
0.621 0.810 0.441
0.611 0.067 0.823
0.389 0.933 0.177
0.111 0.433 0.677
0.500 0.500 0.500
0.000 0.000 0.000
0.889 0.567 0.323
0.671 0.682 0.896
0.329 0.318 0.104
0.829 0.182 0.396
0.171 0.818 0.604
```

Summary:
Space group: No. 14
Fermi-level density of states, states/eV/cell: 12.747
DFT formation energy, eV/atom: -0.77



Material: Ce6GeRh
Method: DFT, PBE
State: relaxed

POSCAR file:
```
Ce6GeRh
1.0
5.986 0.565 -0.070
-1.703 5.767 -0.070
-0.882 -1.303 6.063
Ce Ge Rh
6 1 1
Direct
0.840 0.419 0.810
0.180 0.180 0.612
0.160 0.581 0.190
0.581 0.160 0.190
0.820 0.820 0.388
0.419 0.840 0.810
0.000 0.000 0.000
0.500 0.500 0.500
```

Summary:
Space group: No. 12
Fermi-level density of states, states/eV/cell: 23.372
DFT formation energy, eV/atom: -0.23



Material: Ce4Ge9Rh13
Method: DFT, PBE
State: relaxed

POSCAR file:
```
Ce4Ge9Rh13
1.0
-0.168 -1.805 3.533
11.347 -0.042 0.518
-0.342 17.498 8.923
Rh Ge Ce
26 18 8
Direct
0.250 0.051 0.546
0.750 0.949 0.454
0.250 0.750 0.844
0.250 0.873 0.357
0.750 0.441 0.959
0.250 0.377 0.855
0.250 0.941 0.041
0.750 0.250 0.156
0.750 0.373 0.643
0.750 0.623 0.145
0.250 0.435 0.165
0.750 0.935 0.835
0.250 0.123 0.855
0.250 0.065 0.165
0.750 0.127 0.643
0.250 0.250 0.357
0.250 0.559 0.041
0.750 0.059 0.959
0.250 0.627 0.357
0.250 0.250 0.727
0.750 0.750 0.273
0.750 0.565 0.835
0.250 0.449 0.546
0.750 0.551 0.454
0.750 0.877 0.145
0.750 0.750 0.643
0.750 0.376 0.770
0.250 0.250 0.231
0.750 0.067 0.085
0.750 0.938 0.581
0.250 0.438 0.419
0.250 0.624 0.230
0.250 0.876 0.230
0.750 0.124 0.770
0.750 0.750 0.398
0.250 0.750 0.103
0.750 0.750 0.769
0.250 0.567 0.915
0.750 0.433 0.085
0.750 0.250 0.897
0.750 0.562 0.581
0.250 0.250 0.602
0.250 0.062 0.419
0.250 0.933 0.915
0.250 0.940 0.708
0.750 0.060 0.292
0.750 0.750 0.980
0.250 0.250 0.020
0.750 0.250 0.479
0.250 0.560 0.708
0.250 0.750 0.521
0.750 0.440 0.292
```

Summary:
Space group: No. 59
Fermi-level density of states, states/eV/cell: 38.989
DFT formation energy, eV/atom: -0.84



Material: Ce3Ge2Rh
Method: DFT, PBE
State: relaxed

POSCAR file:
```
Ce3Ge2Rh
1.0
-2.803 1.555 2.877
-2.817 -10.484 2.923
8.566 0.022 8.334
Ce Ge Rh
12 8 4
Direct
0.750 0.558 0.623
0.250 0.376 0.048
0.250 0.800 0.727
0.750 0.876 0.452
0.750 0.942 0.123
0.750 0.624 0.952
0.250 0.442 0.377
0.750 0.200 0.273
0.250 0.058 0.877
0.750 0.300 0.773
0.250 0.700 0.227
0.250 0.124 0.548
0.250 0.692 0.490
0.750 0.494 0.194
0.750 0.308 0.510
0.250 0.994 0.306
0.250 0.506 0.806
0.750 0.192 0.010
0.750 0.006 0.694
0.250 0.808 0.990
0.750 0.872 0.875
0.750 0.628 0.375
0.250 0.372 0.625
0.250 0.128 0.125
```

Summary:
Space group: No. 62
Fermi-level density of states, states/eV/cell: 44.891
Energy relative to the lowest polymorph listed for this composition, meV per atom: 0
DFT formation energy, eV/atom: -0.79



Material: Ce4Ge2Rh
Method: DFT, PBE
State: relaxed

POSCAR file:
```
Ce4Ge2Rh
1.0
5.304 0.000 0.000
0.000 5.304 -0.042
-2.652 -2.623 6.084
Ce Rh Ge
4 1 2
Direct
0.877 0.378 0.755
0.623 0.121 0.245
0.123 0.622 0.245
0.377 0.879 0.755
0.000 0.000 0.000
0.245 0.245 0.490
0.755 0.755 0.510
```

Summary:
Space group: No. 12
Fermi-level density of states, states/eV/cell: 16.143
Energy relative to the lowest polymorph listed for this composition, meV per atom: 49
DFT formation energy, eV/atom: -0.50



Material: CeGeRh2
Method: DFT, PBE
State: relaxed

POSCAR file:
```
CeGeRh2
1.0
-3.797 -1.212 -0.064
0.993 -3.358 4.720
-1.025 4.344 -0.352
Rh Ce Ge
2 1 1
Direct
0.955 0.784 0.568
0.045 0.216 0.432
0.500 0.500 0.000
0.500 0.000 0.000
```

Summary:
Space group: No. 12
Fermi-level density of states, states/eV/cell: 3.777
DFT formation energy, eV/atom: -0.44



Material: CeGe2Rh2
Method: DFT, PBE
State: relaxed

POSCAR file:
```
CeGe2Rh2
1.0
4.173 -0.009 0.006
0.009 4.173 0.006
-2.098 -2.089 5.223
Ce Rh Ge
1 2 2
Direct
0.000 0.000 0.000
0.750 0.250 0.500
0.250 0.750 0.500
0.622 0.622 0.245
0.378 0.378 0.755
```

Summary:
Space group: No. 139
Fermi-level density of states, states/eV/cell: 6.102
DFT formation energy, eV/atom: -0.86



Material: Ce4Ge8Rh
Method: DFT, PBE
State: relaxed

POSCAR file:
```
Ce4Ge8Rh
1.0
-2.252 2.835 1.903
-3.404 -1.300 -2.092
-3.311 -10.713 12.046
Ge Ce Rh
8 4 1
Direct
0.000 0.500 0.944
0.000 0.000 0.752
0.500 0.000 0.232
0.000 0.000 0.464
0.500 0.000 0.560
0.500 0.500 0.754
0.000 0.500 0.234
0.500 0.500 0.044
0.500 0.000 0.893
0.000 0.500 0.612
0.500 0.500 0.396
0.000 0.000 0.102
0.000 0.000 0.316
```

Summary:
Space group: No. 25
Fermi-level density of states, states/eV/cell: 13.159
DFT formation energy, eV/atom: -0.65



Material: Ce3Ge4Rh2
Method: DFT, PBE
State: relaxed

POSCAR file:
```
Ce3Ge4Rh2
1.0
4.316 0.000 0.000
-2.158 5.317 -1.422
0.000 -0.145 8.265
Rh Ce Ge
2 3 4
Direct
0.384 0.767 0.709
0.616 0.233 0.291
0.327 0.653 0.344
0.673 0.347 0.656
0.000 0.000 0.000
0.038 0.075 0.371
0.962 0.925 0.629
0.710 0.421 0.052
0.290 0.579 0.948
```

Summary:
Space group: No. 12
Fermi-level density of states, states/eV/cell: 7.321
DFT formation energy, eV/atom: -0.84



Material: Ce3Ge5Rh6
Method: DFT, PBE
State: relaxed

POSCAR file:
```
Ce3Ge5Rh6
1.0
4.141 0.000 0.000
0.000 9.809 0.000
0.000 0.000 12.632
Rh Ce Ge
12 6 10
Direct
0.500 0.400 0.202
0.500 0.010 0.000
0.000 0.004 0.167
0.500 0.511 0.000
0.000 0.990 0.500
0.500 0.996 0.333
0.000 0.489 0.500
0.000 0.004 0.833
0.500 0.996 0.667
0.500 0.400 0.798
0.000 0.600 0.702
0.000 0.600 0.298
0.000 0.247 0.000
0.000 0.256 0.336
0.500 0.753 0.500
0.500 0.744 0.164
0.000 0.256 0.664
0.500 0.744 0.836
0.000 0.853 0.671
0.000 0.853 0.329
0.500 0.147 0.829
0.500 0.147 0.171
0.500 0.489 0.618
0.500 0.134 0.500
0.000 0.866 0.000
0.000 0.511 0.118
0.500 0.489 0.382
0.000 0.511 0.882
```

Summary:
Space group: No. 59
Fermi-level density of states, states/eV/cell: 26.824
DFT formation energy, eV/atom: -0.86



Material: CeGe3Rh3
Method: DFT, PBE
State: relaxed

POSCAR file:
```
CeGe3Rh3
1.0
-5.321 2.653 3.119
-0.801 -5.690 3.474
4.016 2.381 4.825
Rh Ge Ce
6 6 2
Direct
0.500 0.250 0.000
0.750 0.000 0.500
0.500 0.750 0.000
0.000 0.500 0.750
0.000 0.500 0.250
0.250 0.000 0.500
0.500 0.000 0.750
0.000 0.750 0.500
0.250 0.500 0.000
0.750 0.500 0.000
0.500 0.000 0.250
0.000 0.250 0.500
0.000 0.000 0.000
0.500 0.500 0.500
```

Summary:
Space group: No. 223
Fermi-level density of states, states/eV/cell: 25.446
Energy relative to the lowest polymorph listed for this composition, meV per atom: 179
DFT formation energy, eV/atom: -0.32



Material: Ce3Ge4Rh
Method: DFT, PBE
State: relaxed

POSCAR file:
```
Ce3Ge4Rh
1.0
4.429 0.000 0.000
0.000 6.220 0.000
-2.215 -3.110 6.892
Ce Ge Rh
3 4 1
Direct
0.181 0.181 0.361
0.819 0.819 0.639
0.000 0.500 0.000
0.376 0.584 0.751
0.624 0.832 0.249
0.624 0.416 0.249
0.376 0.168 0.751
0.500 0.000 0.000
```

Summary:
Space group: No. 71
Fermi-level density of states, states/eV/cell: 11.549
DFT formation energy, eV/atom: -0.64



Material: CeGeRh
Method: DFT, PBE
State: relaxed

POSCAR file:
```
CeGeRh
1.0
3.619 0.000 0.000
0.000 4.399 0.000
0.000 -2.199 3.809
Ce Ge Rh
1 1 1
Direct
0.667 0.667 0.333
0.167 0.333 0.667
0.167 0.000 0.000
```

Summary:
Space group: No. 187
Fermi-level density of states, states/eV/cell: 2.873
DFT formation energy, eV/atom: -0.88



Material: Ce2Ge5Rh3
Method: DFT, PBE
State: relaxed

POSCAR file:
```
Ce2Ge5Rh3
1.0
-4.176 -2.716 6.791
-0.247 -7.816 -3.127
5.800 5.392 2.865
Rh Ge Ce
6 10 4
Direct
0.749 0.641 0.108
0.251 0.359 0.892
0.467 0.859 0.608
0.000 0.250 0.250
0.000 0.750 0.750
0.533 0.141 0.392
0.060 0.400 0.660
0.500 0.250 0.750
0.222 0.972 0.750
0.500 0.750 0.250
0.259 0.100 0.160
0.778 0.528 0.750
0.222 0.472 0.250
0.741 0.900 0.840
0.778 0.028 0.250
0.940 0.600 0.340
0.596 0.366 0.230
0.136 0.866 0.270
0.864 0.134 0.730
0.404 0.634 0.770
```

Summary:
Space group: No. 72
Fermi-level density of states, states/eV/cell: 19.959
DFT formation energy, eV/atom: -0.81



Material: Ce4GeRh2
Method: DFT, PBE
State: relaxed

POSCAR file:
```
Ce4GeRh2
1.0
7.482 -1.344 -0.155
-1.873 7.367 0.152
-2.690 -3.117 6.394
Ce Rh Ge
8 4 2
Direct
0.000 0.250 0.383
0.384 0.500 0.251
0.867 0.616 0.117
0.250 0.134 0.750
0.499 0.750 0.883
0.383 0.000 0.250
0.867 0.617 0.617
0.750 0.133 0.750
0.756 0.875 0.380
0.625 0.244 0.119
0.125 0.505 0.881
0.494 0.375 0.620
0.000 0.000 0.000
0.250 0.750 0.500
```

Summary:
Space group: No. 122
Fermi-level density of states, states/eV/cell: 33.779
DFT formation energy, eV/atom: -0.61



Material: CeGe4Rh4
Method: DFT, PBE
State: relaxed

POSCAR file:
```
CeGe4Rh4
1.0
6.150 0.000 0.000
0.000 6.150 0.000
0.000 0.000 8.263
Rh Ge Ce
8 8 2
Direct
0.000 0.271 0.376
0.500 0.771 0.124
0.229 0.500 0.876
0.000 0.729 0.376
0.271 0.000 0.624
0.500 0.229 0.124
0.771 0.500 0.876
0.729 0.000 0.624
0.209 0.500 0.175
0.500 0.209 0.825
0.000 0.291 0.675
0.709 0.000 0.325
0.500 0.791 0.825
0.791 0.500 0.175
0.291 0.000 0.325
0.000 0.709 0.675
0.500 0.500 0.500
0.000 0.000 0.000
```

Summary:
Space group: No. 137
Fermi-level density of states, states/eV/cell: 21.483
DFT formation energy, eV/atom: -0.60



Material: Ce6Ge3Rh
Method: DFT, PBE
State: relaxed

POSCAR file:
```
Ce6Ge3Rh
1.0
-4.019 -0.817 3.948
2.185 -7.972 0.574
7.211 2.520 7.553
Ge Ce Rh
6 12 2
Direct
0.000 0.000 0.500
0.500 0.500 0.000
0.900 0.360 0.753
0.400 0.140 0.253
0.100 0.640 0.247
0.600 0.860 0.747
0.935 0.651 0.564
0.065 0.349 0.436
0.435 0.849 0.064
0.560 0.154 0.556
0.393 0.517 0.738
0.893 0.983 0.238
0.940 0.654 0.944
0.107 0.017 0.762
0.440 0.846 0.444
0.565 0.151 0.936
0.607 0.483 0.262
0.060 0.346 0.056
0.500 0.500 0.500
0.000 0.000 0.000
```

Summary:
Space group: No. 14
Fermi-level density of states, states/eV/cell: 52.972
DFT formation energy, eV/atom: -0.52